(1)
A crystal of ReRh5 relaxed with PBEsol. Source: Alexandria, functional SCAN.

Cell and atoms, written as POSCAR:
```
ReRh5
1.0
3.7972 0.0000 0.0000
0.0000 11.3040 0.0000
0.0000 0.0000 3.8103
Re Rh
2 10
Cartesian
0.0000 0.0000 0.0000
1.8986 5.6520 0.0000
0.0000 1.8643 1.9051
0.0000 3.8394 0.0000
0.0000 5.6520 1.9051
0.0000 7.4646 0.0000
0.0000 9.4397 1.9051
1.8986 0.0000 1.9051
1.8986 1.8126 0.0000
1.8986 3.7877 1.9051
1.8986 7.5162 1.9051
1.8986 9.4914 0.0000
```

Computed properties:
The space group is Cmmm, No. 65. Its crystal system is orthorhombic. Its total moment is 0.0 μB/cell.

***

(2)
A crystal of Re5Rh3 relaxed with PBEsol. Source: Alexandria, functional SCAN.

Cell and atoms, written as POSCAR:
```
Re5Rh3
1.0
5.4495 0.0000 0.0000
0.0000 8.6978 0.0000
0.0000 0.0000 4.7491
Re Rh
10 6
Cartesian
0.0000 0.0000 0.0000
1.3511 0.0000 2.3918
1.3624 2.1744 3.9557
1.3624 6.5233 3.9557
1.3737 4.3489 2.3918
2.7248 4.3489 0.0000
4.0759 4.3489 2.3918
4.0871 2.1744 3.9557
4.0871 6.5233 3.9557
4.0984 0.0000 2.3918
0.0000 2.1933 1.6173
0.0000 4.3489 0.0210
0.0000 6.5045 1.6173
2.7248 0.0000 0.0210
2.7248 2.1556 1.6173
2.7248 6.5422 1.6173
```

Computed properties:
The space group is Cmm2, No. 35. Its crystal system is orthorhombic. Its total moment is 0.0 μB/cell.

***

(3)
A crystal of ReRh2 relaxed with PBEsol. Source: Alexandria, functional SCAN.

Cell and atoms, written as POSCAR:
```
ReRh2
1.0
13.9907 0.0000 0.0000
0.0000 2.6851 0.0000
-1.5279 0.0000 4.4089
Re Rh
4 8
Cartesian
0.5483 0.0000 1.8510
4.9192 1.3425 2.5578
7.5436 1.3425 1.8510
11.9145 0.0000 2.5578
-0.2889 1.3425 3.9872
2.3282 1.3425 3.2892
3.1393 0.0000 1.1196
5.7563 0.0000 0.4217
6.7065 0.0000 3.9872
9.3235 0.0000 3.2892
10.1347 1.3425 1.1196
12.7517 1.3425 0.4217
```

Computed properties:
The space group is C2/m, No. 12. Its crystal system is monoclinic. Its total moment is 0.0 μB/cell.

***

(4)
A crystal of ReRh3 relaxed with PBEsol. Source: Alexandria, functional SCAN.

Cell and atoms, written as POSCAR:
```
ReRh3
1.0
2.6796 0.0000 0.0000
0.0000 3.8015 0.0000
0.0000 0.0000 10.7430
Re Rh
2 6
Cartesian
0.6699 0.9504 2.0028
2.0097 2.8511 8.7403
0.6699 0.9504 4.7151
0.6699 0.9504 7.4099
0.6699 0.9504 10.0421
2.0097 2.8511 0.7009
2.0097 2.8511 3.3331
2.0097 2.8511 6.0279
```

Computed properties:
The space group is Pmmn, No. 59. Its crystal system is orthorhombic. Its total moment is 0.0 μB/cell.

***

(5)
A crystal of ReRh2 relaxed with PBEsol. Source: Alexandria, functional SCAN.

Cell and atoms, written as POSCAR:
```
ReRh2
1.0
4.6710 0.0000 0.0000
0.0000 4.3214 0.0000
0.0000 0.0000 8.1562
Re Rh
4 8
Cartesian
0.8173 1.0804 1.3515
1.5182 3.2411 5.4296
3.1528 1.0804 2.7266
3.8537 3.2411 6.8047
0.7619 1.0804 6.8061
0.7972 1.0804 4.0601
1.5383 3.2411 8.1382
1.5735 3.2411 2.7280
3.0974 1.0804 5.4282
3.1326 1.0804 0.0180
3.8738 3.2411 4.0961
3.9090 3.2411 1.3501
```

Computed properties:
The space group is Pnma, No. 62. Its crystal system is orthorhombic. Its total moment is 0.0 μB/cell.

***

(6)
A crystal of Re3Rh2 relaxed with PBEsol. Source: Alexandria, functional SCAN.

Cell and atoms, written as POSCAR:
```
Re3Rh2
1.0
4.3656 0.0000 0.0000
-2.1828 3.7807 0.0000
0.0000 0.0000 13.3626
Re Rh
9 6
Cartesian
0.0000 0.0000 0.0000
0.0000 0.0000 2.4741
0.0000 0.0000 10.8884
0.0000 2.5205 6.4342
0.0000 2.5205 8.9084
0.0000 2.5205 11.3825
2.1828 1.2602 1.9800
2.1828 1.2602 4.4542
2.1828 1.2602 6.9283
0.0000 0.0000 5.1122
0.0000 0.0000 8.2503
0.0000 2.5205 0.6580
0.0000 2.5205 3.7962
2.1828 1.2602 9.5664
2.1828 1.2602 12.7045
```

Computed properties:
The space group is R-3m, No. 166. Its crystal system is trigonal. Its total moment is 0.0 μB/cell.

***

What formation energy values result from the calculations? In sequence: -0.0841, -0.1633, -0.1050, -0.1047, -0.1593, 0.2359 eV/atom.